Entry 1:
Entry from Alexandria: an optimized crystal structure of LiBe2Ru (PBE).

Results
- formation energy from the elements (eV per atom) = -0.19
- theoretical density (g cm⁻³) = 5.09
- total energy (eV per atom) = -4.855

abc: 3.726 3.726 2.960
angles: 90.00 90.00 90.00
Positions (direct):
Li 0.000 0.000 0.000
Be 0.000 0.500 0.500
Be 0.500 0.000 0.500
Ru 0.500 0.500 0.000

=====

Entry 2:
Entry from Alexandria: an optimized crystal structure of NdZnBIr2 (PBE).

Results
- formation energy from the elements (eV per atom) = -0.50
- theoretical density (g cm⁻³) = 11.75
- total energy (eV per atom) = -6.583

abc: 5.891 5.891 7.469
angles: 90.00 90.00 138.74
Positions (direct):
Nd 0.050 0.950 0.750
Nd 0.950 0.050 0.250
Zn 0.229 0.771 0.250
Zn 0.771 0.229 0.750
B 0.500 0.500 0.000
B 0.500 0.500 0.500
Ir 0.329 0.671 0.559
Ir 0.329 0.671 0.941
Ir 0.671 0.329 0.059
Ir 0.671 0.329 0.441

=====

Entry 3:
Entry from Alexandria: an optimized crystal structure of LaTm2Fe (PBE).

Results
- formation energy from the elements (eV per atom) = 0.27
- energy relative to the lowest polymorph listed for this composition (meV per atom) = 237
- theoretical density (g cm⁻³) = 8.07
- total energy (eV per atom) = -5.315

abc: 10.785 10.785 10.785
angles: 18.43 18.43 18.43
Positions (direct):
La 0.000 0.000 0.000
Tm 0.110 0.110 0.110
Tm 0.890 0.890 0.890
Fe 0.500 0.500 0.500

=====

Entry 4:
Entry from Alexandria: an optimized crystal structure of Pm6As5Cl (PBE).

Results
- energy relative to the elements, uncorrected (meV/atom) = -1583
- theoretical density (g cm⁻³) = 6.64
- total energy (eV per atom) = -6.049

abc: 7.321 7.321 7.309
angles: 99.62 99.62 119.91
Positions (direct):
Pm 0.068 0.414 0.744
Pm 0.240 0.240 0.257
Pm 0.414 0.068 0.744
Pm 0.586 0.932 0.256
Pm 0.760 0.760 0.743
Pm 0.932 0.586 0.256
As 0.000 0.000 0.500
As 0.167 0.833 0.000
As 0.336 0.664 0.500
As 0.664 0.336 0.500
As 0.833 0.167 0.000
Cl 0.500 0.500 0.000

=====

Entry 5:
Entry from Alexandria: an optimized crystal structure of La2As2F (PBE).

Results
- energy relative to the elements, uncorrected (meV/atom) = -1177
- energy relative to the lowest polymorph listed for this composition (meV per atom) = 773
- theoretical density (g cm⁻³) = 5.91
- total energy (eV per atom) = -5.382

abc: 8.502 8.502 8.502
angles: 153.11 153.11 38.40
Positions (direct):
La 0.111 0.111 0.000
La 0.889 0.889 0.000
As 0.250 0.750 0.500
As 0.750 0.250 0.500
F 0.500 0.500 0.000

=====

Entry 6:
Entry from Alexandria: an optimized crystal structure of CrBi2Pt (PBE).

Results
- formation energy from the elements (eV per atom) = 0.33
- energy relative to the lowest polymorph listed for this composition (meV per atom) = 0
- theoretical density (g cm⁻³) = 11.03
- total energy (eV per atom) = -5.526

abc: 9.553 9.553 9.553
angles: 151.33 151.33 40.99
Positions (direct):
Cr 0.000 0.000 0.000
Cr 0.750 0.250 0.500
Bi 0.129 0.625 0.004
Bi 0.375 0.379 0.504
Bi 0.621 0.125 0.996
Bi 0.875 0.871 0.496
Pt 0.250 0.750 0.500
Pt 0.500 0.500 0.000

=====

Entry 7:
Entry from Alexandria: an optimized crystal structure of NaAuNF2 (PBE).

Results
- energy relative to the elements, uncorrected (meV/atom) = -482
- energy relative to the lowest polymorph listed for this composition (meV per atom) = 0
- theoretical density (g cm⁻³) = 5.39
- total energy (eV per atom) = -3.815

abc: 4.728 4.728 3.751
angles: 90.00 90.00 90.00
Positions (direct):
Na 0.000 0.000 0.000
Au 0.500 0.500 0.500
N 0.500 0.500 0.000
F 0.000 0.500 0.500
F 0.500 0.000 0.500

=====

Entry 8:
Entry from Alexandria: an optimized crystal structure of HoPa5N6 (PBE).

Results
- energy relative to the elements, uncorrected (meV/atom) = -1647
- theoretical density (g cm⁻³) = 12.92
- total energy (eV per atom) = -10.148

abc: 6.046 6.046 6.046
angles: 99.59 99.59 119.97
Positions (direct):
Ho 0.000 0.000 0.000
Pa 0.165 0.835 0.500
Pa 0.333 0.667 0.000
Pa 0.500 0.500 0.500
Pa 0.667 0.333 0.000
Pa 0.835 0.165 0.500
N 0.082 0.415 0.248
N 0.250 0.250 0.752
N 0.415 0.082 0.248
N 0.585 0.918 0.752
N 0.750 0.750 0.248
N 0.918 0.585 0.752

=====

Entry 9:
Entry from Alexandria: an optimized crystal structure of SrSi2Ru (PBE).

Results
- energy relative to the elements, uncorrected (meV/atom) = 127
- theoretical density (g cm⁻³) = 5.78
- total energy (eV per atom) = -5.324

abc: 4.633 4.633 4.633
angles: 60.00 60.00 60.00
Positions (direct):
Sr 0.000 0.000 0.000
Si 0.250 0.250 0.250
Si 0.750 0.750 0.750
Ru 0.500 0.500 0.500

=====

Entry 10:
Entry from Alexandria: an optimized crystal structure of Cd2FePtW (PBE).

Results
- formation energy from the elements (eV per atom) = 1.36
- theoretical density (g cm⁻³) = 8.71
- total energy (eV per atom) = -4.494

abc: 5.069 5.069 4.894
angles: 90.00 90.00 90.00
Positions (direct):
Cd 0.000 0.500 0.000
Cd 0.500 0.000 0.000
Fe 0.000 0.000 0.500
Pt 0.500 0.500 0.000
W 0.500 0.500 0.500

=====

Entry 11:
Entry from Alexandria: an optimized crystal structure of HfAlH (PBE).

Results
- energy relative to the lowest polymorph listed for this composition (meV per atom) = 85
- theoretical density (g cm⁻³) = 8.29
- total energy (eV per atom) = -5.966

abc: 4.506 3.272 5.613
angles: 90.00 90.31 90.00
Positions (direct):
Hf 0.000 0.000 0.000
Hf 0.008 0.500 0.502
Al 0.505 0.500 0.200
Al 0.512 0.000 0.619
H 0.156 0.500 0.838
H 0.497 0.000 0.989

=====

Entry 12:
Entry from Alexandria: an optimized crystal structure of KNd2Sm3Te6 (PBE).

Results
- energy relative to the elements, uncorrected (meV/atom) = -1390
- theoretical density (g cm⁻³) = 6.52
- total energy (eV per atom) = -5.026

abc: 10.134 10.134 9.167
angles: 103.49 103.49 25.50
Positions (direct):
K 0.000 0.000 0.000
Nd 0.329 0.329 0.655
Nd 0.671 0.671 0.345
Sm 0.000 0.000 0.500
Sm 0.337 0.337 0.177
Sm 0.663 0.663 0.823
Te 0.164 0.164 0.586
Te 0.173 0.173 0.083
Te 0.498 0.498 0.737
Te 0.502 0.502 0.263
Te 0.827 0.827 0.917
Te 0.836 0.836 0.414

=====

Entry 13:
Entry from Alexandria: an optimized crystal structure of Nd2ThScSe4 (PBE).

Results
- energy relative to the elements, uncorrected (meV/atom) = -1669
- theoretical density (g cm⁻³) = 7.26
- total energy (eV per atom) = -6.322

abc: 7.166 4.109 7.246
angles: 90.00 109.00 90.00
Positions (direct):
Nd 0.000 0.000 0.000
Nd 0.000 0.500 0.500
Th 0.500 0.000 0.500
Sc 0.500 0.500 0.000
Se 0.260 0.500 0.239
Se 0.270 0.000 0.770
Se 0.730 0.000 0.230
Se 0.740 0.500 0.761

=====

Entry 14:
Entry from Alexandria: an optimized crystal structure of Al2CdBr (PBE).

Results
- energy relative to the elements, uncorrected (meV/atom) = 48
- energy relative to the lowest polymorph listed for this composition (meV per atom) = 0
- theoretical density (g cm⁻³) = 4.64
- total energy (eV per atom) = -2.470

abc: 3.366 3.366 7.776
angles: 90.00 90.00 90.00
Positions (direct):
Al 0.000 0.000 0.000
Al 0.500 0.500 0.198
Cd 0.500 0.500 0.764
Br 0.000 0.000 0.446

=====

Entry 15:
Entry from Alexandria: an optimized crystal structure of Er2Co5SiB2 (PBE).

Results
- energy relative to the elements, uncorrected (meV/atom) = -473
- theoretical density (g cm⁻³) = 9.52
- total energy (eV per atom) = -6.817

abc: 8.841 8.841 3.031
angles: 90.00 90.00 90.00
Positions (direct):
Er 0.177 0.323 0.000
Er 0.323 0.823 0.000
Er 0.677 0.177 0.000
Er 0.823 0.677 0.000
Co 0.000 0.500 0.500
Co 0.067 0.780 0.500
Co 0.220 0.067 0.500
Co 0.280 0.567 0.500
Co 0.433 0.280 0.500
Co 0.500 0.000 0.500
Co 0.567 0.720 0.500
Co 0.720 0.433 0.500
Co 0.780 0.933 0.500
Co 0.933 0.220 0.500
Si 0.000 0.000 0.000
Si 0.500 0.500 0.000
B 0.119 0.619 0.000
B 0.381 0.119 0.000
B 0.619 0.881 0.000
B 0.881 0.381 0.000

=====

Entry 16:
Entry from Alexandria: an optimized crystal structure of Tb4ZnBr5 (PBE).

Results
- energy relative to the elements, uncorrected (meV/atom) = -1295
- theoretical density (g cm⁻³) = 6.02
- total energy (eV per atom) = -4.111

abc: 9.362 9.362 8.605
angles: 102.26 102.26 24.35
Positions (direct):
Tb 0.001 0.001 0.231
Tb 0.347 0.347 0.921
Tb 0.653 0.653 0.079
Tb 0.999 0.999 0.769
Zn 0.500 0.500 0.000
Br 0.167 0.167 0.333
Br 0.174 0.174 0.835
Br 0.500 0.500 0.500
Br 0.826 0.826 0.165
Br 0.833 0.833 0.667

=====

Entry 17:
Entry from Alexandria: an optimized crystal structure of KErAu2I6 (PBE).

Results
- energy relative to the elements, uncorrected (meV/atom) = -804
- theoretical density (g cm⁻³) = 5.13
- total energy (eV per atom) = -2.955

abc: 7.896 7.899 9.335
angles: 90.00 114.99 119.95
Positions (direct):
K 0.000 0.000 0.000
Er 0.000 0.500 0.500
Au 0.471 0.235 0.706
Au 0.529 0.765 0.294
I 0.151 0.267 0.721
I 0.163 0.430 0.279
I 0.453 0.882 0.721
I 0.547 0.118 0.279
I 0.837 0.570 0.721
I 0.849 0.733 0.279

=====

Entry 18:
Entry from Alexandria: an optimized crystal structure of Li3ErAs2 (PBE).

Results
- formation energy from the elements (eV per atom) = -0.88
- theoretical density (g cm⁻³) = 5.25
- total energy (eV per atom) = -4.148

abc: 8.356 8.356 10.079
angles: 100.85 100.85 27.65
Positions (direct):
Li 0.000 0.000 0.000
Li 0.123 0.123 0.733
Li 0.183 0.183 0.491
Li 0.291 0.291 0.091
Li 0.452 0.452 0.161
Li 0.548 0.548 0.839
Li 0.709 0.709 0.909
Li 0.817 0.817 0.509
Li 0.877 0.877 0.267
Er 0.335 0.335 0.780
Er 0.500 0.500 0.500
Er 0.665 0.665 0.220
As 0.045 0.045 0.312
As 0.142 0.142 0.999
As 0.304 0.304 0.348
As 0.696 0.696 0.652
As 0.858 0.858 0.001
As 0.955 0.955 0.688

=====

Entry 19:
Entry from Alexandria: an optimized crystal structure of Na3Np2CdTe6 (PBE).

Results
- energy relative to the elements, uncorrected (meV/atom) = -722
- theoretical density (g cm⁻³) = 6.13
- total energy (eV per atom) = -4.856

abc: 7.686 7.686 7.942
angles: 99.27 99.27 119.96
Positions (direct):
Na 0.000 0.000 0.000
Na 0.335 0.665 0.000
Na 0.665 0.335 0.000
Np 0.167 0.833 0.500
Np 0.833 0.167 0.500
Cd 0.500 0.500 0.500
Te 0.088 0.423 0.268
Te 0.242 0.242 0.731
Te 0.423 0.088 0.268
Te 0.577 0.912 0.732
Te 0.758 0.758 0.269
Te 0.912 0.577 0.732

=====

Entry 20:
Entry from Alexandria: an optimized crystal structure of Li2ErAg (PBE).

Results
- formation energy from the elements (eV per atom) = 0.13
- energy relative to the lowest polymorph listed for this composition (meV per atom) = 170
- theoretical density (g cm⁻³) = 5.42
- total energy (eV per atom) = -2.682

abc: 10.512 10.512 10.512
angles: 17.18 17.18 17.18
Positions (direct):
Li 0.098 0.098 0.098
Li 0.902 0.902 0.902
Er 0.000 0.000 0.000
Ag 0.500 0.500 0.500

=====

Entry 21:
Entry from Alexandria: an optimized crystal structure of AlCd2Se (PBE).

Results
- energy relative to the elements, uncorrected (meV/atom) = 70
- energy relative to the lowest polymorph listed for this composition (meV per atom) = 277
- theoretical density (g cm⁻³) = 4.73
- total energy (eV per atom) = -2.195

abc: 6.897 6.897 6.897
angles: 119.92 119.92 90.14
Positions (direct):
Al 0.000 0.000 0.000
Al 0.750 0.250 0.500
Cd 0.131 0.625 0.006
Cd 0.375 0.381 0.506
Cd 0.619 0.125 0.994
Cd 0.875 0.869 0.494
Se 0.250 0.750 0.500
Se 0.500 0.500 0.000

=====

Entry 22:
Entry from Alexandria: an optimized crystal structure of SrAlTl2 (PBE).

Results
- formation energy from the elements (eV per atom) = -0.16
- theoretical density (g cm⁻³) = 7.33
- total energy (eV per atom) = -2.702

abc: 4.795 4.795 6.568
angles: 111.51 111.51 60.07
Positions (direct):
Sr 0.000 0.000 0.000
Al 0.500 0.500 0.500
Tl 0.226 0.226 0.678
Tl 0.774 0.774 0.322

=====

Entry 23:
Entry from Alexandria: an optimized crystal structure of NbMoRhW (PBE).

Results
- formation energy from the elements (eV per atom) = 0.00
- theoretical density (g cm⁻³) = 12.24
- total energy (eV per atom) = -10.304

abc: 4.502 4.502 4.502
angles: 60.00 60.00 60.00
Positions (direct):
Nb 0.000 0.000 0.000
Mo 0.250 0.250 0.250
Rh 0.750 0.750 0.750
W 0.500 0.500 0.500

=====

Entry 24:
Entry from Alexandria: an optimized crystal structure of HgAs2RuSe (PBE).

Results
- energy relative to the elements, uncorrected (meV/atom) = 1575
- energy relative to the lowest polymorph listed for this composition (meV per atom) = 1196
- theoretical density (g cm⁻³) = 6.54
- total energy (eV per atom) = -2.897

abc: 5.098 5.098 5.183
angles: 90.00 90.00 90.00
Positions (direct):
Hg 0.000 0.000 0.000
As 0.000 0.500 0.000
As 0.500 0.000 0.000
Ru 0.000 0.000 0.500
Se 0.500 0.500 0.500